Record 1
First-principles (GGA-PBE) data for a geometry-optimized MgTeSN2 structure, as listed in Alexandria via LeMat-Bulk.

The structure in extended XYZ format:
```
5
Lattice="3.693 0.000 0.000 0.000 3.693 0.000 0.000 0.000 7.535" Properties=species:S:1:pos:R:3 pbc="T T T"
S 0.000 0.000 0.000
Mg 1.846 1.846 3.768
Te 0.000 0.000 3.768
N 0.000 1.846 0.000
N 1.846 0.000 0.000
```

Computed properties:
energy relative to the lowest polymorph listed for this composition: 461 meV per atom
DOS(E_F): 0.738 states/eV per atom
spin magnetization: 0.498 μB/f.u.


Record 2
First-principles (GGA-PBE) data for a geometry-optimized MgTeS2N structure, as listed in Alexandria via LeMat-Bulk.

The structure in extended XYZ format:
```
5
Lattice="-1.293 -1.318 4.272 3.456 -2.007 0.427 1.994 3.811 1.779" Properties=species:S:1:pos:R:3 pbc="T T T"
S -0.647 -0.659 2.136
S 0.997 1.905 0.890
N 0.000 0.000 0.000
Mg 1.728 -1.004 0.213
Te 2.078 0.243 3.239
```

Computed properties:
energy relative to the lowest polymorph listed for this composition: 0 meV per atom
DOS(E_F): 0.515 states/eV per atom
spin magnetization: 0.000 μB/f.u.


Record 3
First-principles (GGA-PBE) data for a geometry-optimized MgTe2SN structure, as listed in Alexandria via LeMat-Bulk.

The structure in extended XYZ format:
```
5
Lattice="5.534 0.000 0.000 0.000 5.534 0.000 0.000 0.000 3.880" Properties=species:S:1:pos:R:3 pbc="T T T"
Te 2.767 0.000 0.000
Te 0.000 2.767 0.000
N 0.000 0.000 1.940
S 2.767 2.767 1.940
Mg 0.000 0.000 0.000
```

Computed properties:
energy relative to the lowest polymorph listed for this composition: 336 meV per atom
DOS(E_F): 0.720 states/eV per atom
spin magnetization: 1.323 μB/f.u.


Record 4
First-principles (GGA-PBE) data for a geometry-optimized MgTe2SN structure, as listed in Alexandria via LeMat-Bulk.

The structure in extended XYZ format:
```
5
Lattice="5.761 0.000 0.000 0.000 5.761 0.000 0.000 0.000 3.357" Properties=species:S:1:pos:R:3 pbc="T T T"
Mg 2.880 2.880 1.678
S 0.000 0.000 0.000
Te 2.880 0.000 0.000
Te 0.000 2.880 0.000
N 0.000 0.000 1.678
```

Computed properties:
energy relative to the lowest polymorph listed for this composition: 0 meV per atom
DOS(E_F): 0.554 states/eV per atom
spin magnetization: 0.000 μB/f.u.


The evaluated raw formation energy for the records listed, in turn: 1.30, 0.44, 0.90, 0.56 eV/atom.